No. 1
Density functional theory data (GGA-PBE) for an optimized crystal structure of Dy3Si2Ir.

a = 4.1874 Å, b = 11.2252 Å, c = 11.5237 Å
α = 90.00°, β = 90.00°, γ = 90.00°
With the nearest neighbours (Å) after each atom.
Element x y z (fractional)
Dy1 0.7500 0.3017 0.7851  2 Ir 2.85, 4 Si 2.99-3.06
Dy2 0.2500 0.1229 0.5575  1 Ir 2.84, 4 Si 2.98-3.01
Dy3 0.2500 0.6983 0.2149  2 Ir 2.85, 4 Si 2.99-3.06
Dy4 0.2500 0.3771 0.0575  1 Ir 2.84, 4 Si 2.98-3.01
Dy5 0.2500 0.4423 0.3801  5 Si 2.99-3.07, 3 Ir 3.00-3.01
Ir1 0.7500 0.8655 0.8710  3 Si 2.52
Ir2 0.2500 0.3655 0.6290  3 Si 2.52
Si1 0.7500 0.3122 0.5197  2 Ir 2.52
Dy6 0.7500 0.8771 0.4425  1 Ir 2.84, 4 Si 2.98-3.01
Si2 0.2500 0.6878 0.4803  2 Ir 2.52
Dy7 0.2500 0.0577 0.8801  5 Si 2.99-3.07, 3 Ir 3.00-3.01
Dy8 0.7500 0.1983 0.2851  2 Ir 2.85, 4 Si 2.99-3.06
Dy9 0.7500 0.6229 0.9425  1 Ir 2.84, 4 Si 2.98-3.01
Dy10 0.7500 0.9423 0.1199  5 Si 2.99-3.07, 3 Ir 3.00-3.01
Si3 0.2500 0.8122 0.9803  2 Ir 2.52
Si4 0.2500 0.4970 0.8059  1 Ir 2.52
Ir3 0.7500 0.6345 0.3710  3 Si 2.52
Si5 0.7500 0.1878 0.0197  2 Ir 2.52
Si6 0.7500 0.5030 0.1941  1 Ir 2.52
Si7 0.7500 0.9970 0.6941  1 Ir 2.52
Ir4 0.2500 0.1345 0.1290  3 Si 2.52
Dy11 0.7500 0.5577 0.6199  5 Si 2.99-3.07, 3 Ir 3.00-3.01
Si8 0.2500 0.0030 0.3059  1 Ir 2.52
Dy12 0.2500 0.8017 0.7149  2 Ir 2.85, 4 Si 2.99-3.06

No. 2
Density functional theory data (GGA-PBE) for an optimized crystal structure of Li2CaCr.

energy above the lowest structure with this stoichiometry: 0.449 eV/f.u.
formation energy from the elements: 0.5149 eV/atom

a = 10.1360 Å, b = 10.1360 Å, c = 10.1360 Å
α = 19.22°, β = 19.22°, γ = 19.22°
With the nearest neighbours (Å) after each atom.
Element x y z (fractional)
Li1 0.0030 0.0030 0.0030  3 Cr 2.94, 3 Li 3.04
Li2 0.2582 0.2582 0.2582  9 Li 3.04-3.38
Ca1 0.4957 0.4957 0.4957  3 Cr 3.22, 6 Ca 3.38, 3 Li 3.46
Cr1 0.7432 0.7432 0.7432  3 Li 2.94, 3 Ca 3.22

No. 3
Density functional theory data (GGA-PBE) for an optimized crystal structure of Pr2CdPb3.

formation energy from the elements: -0.2153 eV/atom

a = 3.6353 Å, b = 5.8707 Å, c = 9.6451 Å
α = 107.72°, β = 100.86°, γ = 90.00°
With the nearest neighbours (Å) after each atom.
Element x y z (fractional)
Pb1 0.1653 0.1653 0.3306  1 Cd 2.98, 1 Pr 3.23
Cd1 0.0000 0.0000 0.0000  4 Pb 2.94-2.98
Pb2 0.0000 0.5000 0.0000  2 Cd 2.94
Pb3 0.8347 0.8347 0.6694  1 Cd 2.98, 1 Pr 3.23
Pr1 0.3448 0.3448 0.6896  7 Pb 3.23-3.46
Pr2 0.6552 0.6552 0.3104  7 Pb 3.23-3.46

No. 4
Density functional theory data (GGA-PBE) for an optimized crystal structure of Ho6Cd3Au.

formation energy from the elements: -0.3266 eV/atom

a = 5.2093 Å, b = 9.3344 Å, c = 11.6169 Å
α = 110.24°, β = 90.00°, γ = 90.00°
With the nearest neighbours (Å) after each atom.
Element x y z (fractional)
Au1 0.2500 0.9267 0.6091  7 Ho 2.86-3.18
Cd1 0.2500 0.7681 0.9768  9 Ho 3.17-3.46, 1 Cd 3.52
Ho1 0.7500 0.5295 0.9096  6 Cd 3.09-3.45
Ho2 0.2500 0.1113 0.8639  1 Au 2.86, 3 Cd 3.06-3.17
Ho3 0.7500 0.8746 0.8471  3 Cd 3.25-3.33, 6 Ho 3.31-3.54
Au2 0.7500 0.0733 0.3909  7 Ho 2.86-3.18
Ho4 0.2500 0.8657 0.3391  3 Au 2.99-3.18, 1 Cd 3.29
Ho5 0.2500 0.2524 0.4895  2 Au 3.09, 4 Cd 3.14-3.33, 1 Ho 3.42
Ho6 0.2500 0.6603 0.6802  1 Au 2.88, 3 Cd 3.10-3.14
Ho7 0.7500 0.1343 0.6609  3 Au 2.99-3.18, 1 Cd 3.29
Cd2 0.7500 0.4678 0.6241  8 Ho 3.10-3.33, 2 Cd 3.39
Cd3 0.7500 0.2319 0.0232  9 Ho 3.17-3.46, 1 Cd 3.52
Ho8 0.2500 0.1254 0.1529  3 Cd 3.25-3.33, 6 Ho 3.31-3.54
Cd4 0.2500 0.3857 0.7772  5 Ho 3.06-3.14, 2 Cd 3.39
Cd5 0.7500 0.6143 0.2228  5 Ho 3.06-3.14, 2 Cd 3.39
Ho9 0.7500 0.7476 0.5105  2 Au 3.09, 4 Cd 3.14-3.33, 1 Ho 3.42
Ho10 0.7500 0.3397 0.3198  1 Au 2.88, 3 Cd 3.10-3.14
Cd6 0.2500 0.5322 0.3759  8 Ho 3.10-3.33, 2 Cd 3.39
Ho11 0.2500 0.4705 0.0904  6 Cd 3.09-3.45
Ho12 0.7500 0.8887 0.1361  1 Au 2.86, 3 Cd 3.06-3.17

No. 5
Density functional theory data (GGA-PBE) for an optimized crystal structure of TbCe2Tl.

energy above the lowest structure with this stoichiometry: 0.087 eV/f.u.
formation energy from the elements: -0.1392 eV/atom

a = 5.2078 Å, b = 4.6342 Å, c = 4.6342 Å
α = 90.00°, β = 90.00°, γ = 90.00°
With the nearest neighbours (Å) after each atom.
Element x y z (fractional)
Ce1 0.0000 0.5000 0.0000  4 Ce 3.28, 4 Tl 3.49, 4 Tb 3.49
Ce2 0.0000 0.0000 0.5000  4 Ce 3.28, 4 Tl 3.49, 4 Tb 3.49
Tb1 0.5000 0.5000 0.5000  4 Tl 3.28, 8 Ce 3.49
Tl1 0.5000 0.0000 0.0000  4 Tb 3.28, 8 Ce 3.49

No. 6
Density functional theory data (GGA-PBE) for an optimized crystal structure of CdSb2As.

energy above the lowest structure with this stoichiometry: 0.000 eV/f.u.

a = 6.7487 Å, b = 6.7487 Å, c = 4.6189 Å
α = 69.37°, β = 69.37°, γ = 33.85°
With the nearest neighbours (Å) after each atom.
Element x y z (fractional)
Cd1 0.2577 0.2577 0.9966  1 As 2.90, 5 Sb 3.04-3.12
Sb1 0.9989 0.9989 0.1958  2 As 2.69
Sb2 0.7447 0.7447 0.5101  1 As 2.96, 4 Cd 3.04, 1 Sb 3.06
As1 0.4987 0.4987 0.7975  3 Sb 2.69-2.96, 1 Cd 2.90

No. 7
Density functional theory data (GGA-PBE) for an optimized crystal structure of Ta2CdCl.

energy above the lowest structure with this stoichiometry: 1.692 eV/f.u.

a = 3.0952 Å, b = 3.0952 Å, c = 9.7142 Å
α = 90.00°, β = 90.00°, γ = 125.17°
With the nearest neighbours (Å) after each atom.
Element x y z (fractional)
Cd1 0.5000 0.5000 0.2500  6 Cd 2.85-3.10, 4 Ta 2.97
Ta1 0.0000 0.0000 0.9814  2 Cl 2.66, 2 Ta 2.85, 2 Cd 2.97
Ta2 0.0000 0.0000 0.5186  2 Cl 2.66, 2 Ta 2.85, 2 Cd 2.97
Cl1 0.5000 0.5000 0.7500  4 Ta 2.66, 2 Cl 2.85

No. 8
Density functional theory data (GGA-PBE) for an optimized crystal structure of YTc3Ag.

energy above the lowest structure with this stoichiometry: 0.000 eV/f.u.
formation energy from the elements: 1.8650 eV/atom

a = 4.8469 Å, b = 4.8469 Å, c = 4.8469 Å
α = 90.00°, β = 90.00°, γ = 90.00°
With the nearest neighbours (Å) after each atom.
Element x y z (fractional)
Tc1 0.0000 0.0000 0.5000  2 Ag 2.42
Ag1 0.0000 0.0000 0.0000  6 Tc 2.42
Y1 0.5000 0.5000 0.5000  12 Tc 3.43
Tc2 0.5000 0.0000 0.0000  2 Ag 2.42
Tc3 0.0000 0.5000 0.0000  2 Ag 2.42

No. 9
Density functional theory data (GGA-PBE) for an optimized crystal structure of La9Y4Cd11.

formation energy from the elements: -0.2647 eV/atom

a = 3.5720 Å, b = 14.5730 Å, c = 14.5730 Å
α = 111.71°, β = 90.00°, γ = 90.00°
With the nearest neighbours (Å) after each atom.
Element x y z (fractional)
La1 0.5000 0.5000 0.5000  4 Y 3.42, 2 La 3.57, 4 Cd 3.71
Cd1 0.0000 0.5815 0.9431  2 Y 3.24, 6 La 3.34-3.48, 3 Cd 3.36-3.57
La2 0.5000 0.2105 0.0473  8 Cd 3.37-3.56, 2 La 3.57, 1 Y 3.59
Cd2 0.0000 0.7262 0.7262  4 Y 3.18
Cd3 0.0000 0.0569 0.4185  2 Y 3.24, 6 La 3.34-3.48, 3 Cd 3.36-3.57
Y1 0.5000 0.4440 0.2505  6 Cd 3.18-3.24, 1 La 3.42
Cd4 0.0000 0.4185 0.0569  2 Y 3.24, 6 La 3.34-3.48, 3 Cd 3.36-3.57
Cd5 0.0000 0.9431 0.5815  2 Y 3.24, 6 La 3.34-3.48, 3 Cd 3.36-3.57
La3 0.5000 0.6339 0.1502  8 Cd 3.34-3.60, 3 La 3.53-3.57, 1 Y 3.58
Cd6 0.0000 0.2738 0.2738  4 Y 3.18
Y2 0.5000 0.2505 0.4440  6 Cd 3.18-3.24, 1 La 3.42
La4 0.5000 0.0473 0.2105  8 Cd 3.37-3.56, 2 La 3.57, 1 Y 3.59
Cd7 0.0000 0.1617 0.8383  8 La 3.37-3.42, 2 Cd 3.57
Y3 0.5000 0.7495 0.5560  6 Cd 3.18-3.24, 1 La 3.42
Cd8 0.0000 0.3652 0.6348  4 Y 3.21, 2 Cd 3.57
La5 0.5000 0.1502 0.6339  8 Cd 3.34-3.60, 3 La 3.53-3.57, 1 Y 3.58
Cd9 0.0000 0.8383 0.1617  8 La 3.37-3.42, 2 Cd 3.57
Y4 0.5000 0.5560 0.7495  6 Cd 3.18-3.24, 1 La 3.42
La6 0.5000 0.7895 0.9527  8 Cd 3.37-3.56, 2 La 3.57, 1 Y 3.59
Cd10 0.0000 0.0000 0.0000  8 La 3.39, 2 Cd 3.57
Cd11 0.0000 0.6348 0.3652  4 Y 3.21, 2 Cd 3.57
La7 0.5000 0.8498 0.3661  8 Cd 3.34-3.60, 3 La 3.53-3.57, 1 Y 3.58
La8 0.5000 0.3661 0.8498  8 Cd 3.34-3.60, 3 La 3.53-3.57, 1 Y 3.58
La9 0.5000 0.9527 0.7895  8 Cd 3.37-3.56, 2 La 3.57, 1 Y 3.59

No. 10
Density functional theory data (GGA-PBE) for an optimized crystal structure of Ce3Ho5As8.

formation energy from the elements: -1.4895 eV/atom

a = 8.2883 Å, b = 8.2883 Å, c = 8.2804 Å
α = 59.97°, β = 59.97°, γ = 60.00°
With the nearest neighbours (Å) after each atom.
Element x y z (fractional)
Ce1 0.0000 0.0000 0.5000  6 As 2.95
As1 0.2532 0.7500 0.2468  4 Ho 2.91-2.93, 2 Ce 2.95
Ho1 0.5000 0.0000 0.0000  6 As 2.91
Ho2 0.0000 0.0000 0.0000  6 As 2.93
As2 0.7480 0.7480 0.7561  3 Ho 2.91, 3 Ce 2.95
As3 0.2500 0.7468 0.7532  4 Ho 2.91-2.93, 2 Ce 2.95
As4 0.2520 0.2520 0.2439  3 Ho 2.91, 3 Ce 2.95
Ho3 0.5000 0.5000 0.0000  6 As 2.91
As5 0.7500 0.2532 0.2468  4 Ho 2.91-2.93, 2 Ce 2.95
As6 0.7468 0.2500 0.7532  4 Ho 2.91-2.93, 2 Ce 2.95
As7 0.2500 0.2500 0.7532  4 Ho 2.91-2.93, 2 Ce 2.95
Ho4 0.5000 0.5000 0.5000  6 As 2.93
As8 0.7500 0.7500 0.2468  4 Ho 2.91-2.93, 2 Ce 2.95
Ce2 0.0000 0.5000 0.5000  6 As 2.95
Ho5 0.0000 0.5000 0.0000  6 As 2.91
Ce3 0.5000 0.0000 0.5000  6 As 2.95

No. 11
Density functional theory data (GGA-PBE) for an optimized crystal structure of NaScHRu2.

a = 3.9909 Å, b = 4.3142 Å, c = 3.9909 Å
α = 90.00°, β = 90.00°, γ = 90.00°
With the nearest neighbours (Å) after each atom.
Element x y z (fractional)
Ru1 0.5000 0.0000 0.0000  2 H 2.00
H1 0.0000 0.0000 0.0000  4 Ru 2.00, 2 Sc 2.16
Sc1 0.0000 0.5000 0.0000  2 H 2.16
Ru2 0.0000 0.0000 0.5000  2 H 2.00
Na1 0.5000 0.5000 0.5000  4 Sc 2.82, 8 Ru 2.94

No. 12
Density functional theory data (GGA-PBE) for an optimized crystal structure of Nd2MgTc.

formation energy from the elements: 0.0451 eV/atom

a = 3.5593 Å, b = 3.5593 Å, c = 8.3102 Å
α = 90.00°, β = 90.00°, γ = 90.00°
With the nearest neighbours (Å) after each atom.
Element x y z (fractional)
Nd1 0.0000 0.0000 0.2043  4 Tc 3.04, 1 Nd 3.40
Mg1 0.5000 0.5000 0.5000  8 Nd 3.52, 4 Mg 3.56
Nd2 0.0000 0.0000 0.7957  4 Tc 3.04, 1 Nd 3.40
Tc1 0.5000 0.5000 0.0000  8 Nd 3.04

No. 13
Density functional theory data (GGA-PBE) for an optimized crystal structure of DyPuCuO6.

a = 4.4258 Å, b = 5.6160 Å, c = 5.6160 Å
α = 120.00°, β = 90.00°, γ = 90.00°
With the nearest neighbours (Å) after each atom.
Element x y z (fractional)
O1 0.2593 0.6902 0.9915  1 Pu 2.02, 1 Cu 2.24, 1 Dy 2.26
Pu1 0.5000 0.0000 0.0000  6 O 2.02
O2 0.2593 0.0085 0.6986  1 Pu 2.02, 1 Cu 2.24, 1 Dy 2.26
O3 0.7407 0.3014 0.9915  1 Pu 2.02, 1 Cu 2.24, 1 Dy 2.26
O4 0.7407 0.6902 0.6986  1 Pu 2.02, 1 Cu 2.24, 1 Dy 2.26
O5 0.7407 0.0085 0.3098  1 Pu 2.02, 1 Cu 2.24, 1 Dy 2.26
Cu1 0.0000 0.3333 0.6667  6 O 2.24
O6 0.2593 0.3014 0.3098  1 Pu 2.02, 1 Cu 2.24, 1 Dy 2.26
Dy1 0.5000 0.6667 0.3333  6 O 2.26

No. 14
Density functional theory data (GGA-PBE) for an optimized crystal structure of BiTeNO2.

a = 4.1642 Å, b = 4.1642 Å, c = 4.3438 Å
α = 90.00°, β = 90.00°, γ = 90.00°
With the nearest neighbours (Å) after each atom.
Element x y z (fractional)
N1 0.0000 0.0000 0.5000  2 Te 2.17
Bi1 0.5000 0.5000 0.5000  4 N 2.94, 8 O 3.01
Te1 0.0000 0.0000 0.0000  4 O 2.08, 2 N 2.17
O1 0.0000 0.5000 0.0000  2 Te 2.08
O2 0.5000 0.0000 0.0000  2 Te 2.08

No. 15
Density functional theory data (GGA-PBE) for an optimized crystal structure of Ti3MnOs4.

formation energy from the elements: -0.4686 eV/atom

a = 3.0854 Å, b = 3.0854 Å, c = 12.1930 Å
α = 90.00°, β = 90.00°, γ = 90.00°
With the nearest neighbours (Å) after each atom.
Element x y z (fractional)
Os1 0.0000 0.0000 0.3734  8 Ti 2.67-2.68
Os2 0.0000 0.0000 0.8795  4 Mn 2.63, 4 Ti 2.66, 1 Os 2.94
Os3 0.0000 0.0000 0.6266  8 Ti 2.67-2.68
Ti1 0.5000 0.5000 0.7549  8 Os 2.66-2.68
Ti2 0.5000 0.5000 0.2451  8 Os 2.66-2.68
Mn1 0.5000 0.5000 0.0000  8 Os 2.63
Os4 0.0000 0.0000 0.1205  4 Mn 2.63, 4 Ti 2.66, 1 Os 2.94
Ti3 0.5000 0.5000 0.5000  8 Os 2.67

No. 16
Density functional theory data (GGA-PBE) for an optimized crystal structure of YP2NO.

energy above the lowest structure with this stoichiometry: 6.707 eV/f.u.

a = 5.6963 Å, b = 5.6963 Å, c = 4.2052 Å
α = 90.00°, β = 90.00°, γ = 90.00°
With the nearest neighbours (Å) after each atom.
Element x y z (fractional)
P1 0.5000 0.0000 0.0000  2 Y 2.85
Y1 0.0000 0.0000 0.0000  2 O 2.10
N1 0.5000 0.5000 0.5000  8 P 3.54
P2 0.0000 0.5000 0.0000  2 Y 2.85
O1 0.0000 0.0000 0.5000  2 Y 2.10

No. 17
Density functional theory data (GGA-PBE) for an optimized crystal structure of CeNi4Ge.

energy above the lowest structure with this stoichiometry: 0.000 eV/f.u.
formation energy from the elements: -0.3550 eV/atom

a = 4.9349 Å, b = 4.9349 Å, c = 4.9349 Å
α = 60.00°, β = 60.00°, γ = 60.00°
With the nearest neighbours (Å) after each atom.
Element x y z (fractional)
Ce1 0.2500 0.2500 0.2500  12 Ni 2.90, 4 Ge 3.02
Ni1 0.6261 0.6261 0.1217  6 Ni 2.45-2.49
Ni2 0.6261 0.1217 0.6261  6 Ni 2.45-2.49
Ge1 0.0000 0.0000 0.0000  12 Ni 2.89, 4 Ce 3.02
Ni3 0.6261 0.6261 0.6261  6 Ni 2.45-2.49
Ni4 0.1217 0.6261 0.6261  6 Ni 2.45-2.49

No. 18
Density functional theory data (GGA-PBE) for an optimized crystal structure of CaPm6Cd2.

formation energy from the elements: -0.1330 eV/atom

a = 3.7788 Å, b = 6.8453 Å, c = 12.0272 Å
α = 75.71°, β = 80.96°, γ = 73.98°
With the nearest neighbours (Å) after each atom.
Element x y z (fractional)
Cd1 0.6419 0.9243 0.7920  2 Ca 3.23, 6 Pm 3.28-3.34
Pm1 0.3095 0.7939 0.5870  2 Cd 3.34, 8 Pm 3.51-3.67
Pm2 0.9843 0.6908 0.3406  2 Cd 3.28, 7 Pm 3.63-3.67
Cd2 0.3581 0.0757 0.2080  2 Ca 3.23, 6 Pm 3.28-3.34
Pm3 0.0157 0.3092 0.6594  2 Cd 3.28, 7 Pm 3.63-3.67
Pm4 0.6905 0.2061 0.4130  2 Cd 3.34, 8 Pm 3.51-3.67
Ca1 0.0000 0.0000 0.0000  4 Cd 3.23
Pm5 0.6913 0.4904 0.1270  2 Cd 3.29, 5 Pm 3.51-3.63
Pm6 0.3087 0.5096 0.8730  2 Cd 3.29, 5 Pm 3.51-3.63

No. 19
Density functional theory data (GGA-PBE) for an optimized crystal structure of TlTeSe2O8.

a = 5.4158 Å, b = 5.4158 Å, c = 8.3686 Å
α = 86.67°, β = 86.67°, γ = 68.61°
With the nearest neighbours (Å) after each atom.
Element x y z (fractional)
Se1 0.3716 0.3716 0.7959  4 O 1.65-1.79
Tl1 0.0000 0.0000 0.5000  6 O 2.89-3.07
O1 0.2249 0.7216 0.8188  1 Se 1.79
Se2 0.6284 0.6284 0.2041  4 O 1.65-1.79
Te1 0.0000 0.0000 0.0000  6 O 2.17-2.18
O2 0.7751 0.2784 0.1812  1 Se 1.79
O3 0.2425 0.2425 0.9586  1 Se 1.72
O4 0.7064 0.7064 0.3775  1 Se 1.65
O5 0.7575 0.7575 0.0414  1 Se 1.72
O6 0.2936 0.2936 0.6225  1 Se 1.65
O7 0.2784 0.7751 0.1812  1 Se 1.79
O8 0.7216 0.2249 0.8188  1 Se 1.79

No. 20
Density functional theory data (GGA-PBE) for an optimized crystal structure of CaAlCd2.

formation energy from the elements: -0.1852 eV/atom

a = 4.3082 Å, b = 4.3082 Å, c = 10.6524 Å
α = 90.00°, β = 90.00°, γ = 90.00°
With the nearest neighbours (Å) after each atom.
Element x y z (fractional)
Ca1 0.5000 0.0000 0.2392  4 Al 3.20, 9 Cd 3.25-3.56
Cd1 0.5000 0.5000 0.5000  4 Al 2.81, 4 Cd 3.05
Cd2 0.5000 0.0000 0.9342  1 Al 2.83
Cd3 0.0000 0.5000 0.0658  1 Al 2.83
Ca2 0.0000 0.5000 0.7608  4 Al 3.20, 9 Cd 3.25-3.56
Cd4 0.0000 0.0000 0.5000  4 Al 2.81, 4 Cd 3.05
Al1 0.5000 0.0000 0.6687  5 Cd 2.81-2.83
Al2 0.0000 0.5000 0.3313  5 Cd 2.81-2.83

Going through the records in order, we get electronic total energy values of -6.425 -3.348 -3.815 -3.676 -4.855 -3.410 -6.259 -6.218 -3.609 -6.357 -5.678 -5.329 -7.904 -5.005 -10.190 -5.038 -5.968 -3.726 -4.984 -2.079 eV/atom.
Going through the records in order, we get size of the total moment values of 0.0 4.4 0.0 0.0 1.8 0.0 0.0 4.9 2.0 1.8 0.0 0.0 1.8 0.0 3.2 1.2 0.0 0.0 0.0 0.0 μB/f.u..